[1]
# NdEuAu2 | Alexandria via LeMat-Bulk | GGA-PBE | optimized geometry
data_NdEuAu2
_cell_length_a 4.356
_cell_length_b 4.356
_cell_length_c 7.617
_cell_angle_alpha 73.38
_cell_angle_beta 73.38
_cell_angle_gamma 60.00
_symmetry_space_group_name_H-M 'P 1'
_symmetry_Int_Tables_number 1
loop_
_symmetry_equiv_pos_as_xyz
'x,y,z'
loop_
_atom_site_label
_atom_site_fract_x
_atom_site_fract_y
_atom_site_fract_z
Eu1 0.500 0.500 0.500
Au1 0.747 0.747 0.760
Au2 0.253 0.253 0.240
Nd1 0.000 0.000 0.000
# Density of states at the Fermi level in states/eV per cell: 13.0
# Volume in Å³/atom: 29.54
# Energy above the most stable polymorph in this dataset in eV/atom: 0.0857
# Spin magnetization in μB/atom: 1.79
# Space group: R-3m (166)

[2]
# NdEuAu2 | Alexandria via LeMat-Bulk | GGA-PBE | optimized geometry
data_NdEuAu2
_cell_length_a 3.741
_cell_length_b 3.741
_cell_length_c 7.451
_cell_angle_alpha 90.00
_cell_angle_beta 90.00
_cell_angle_gamma 90.00
_symmetry_space_group_name_H-M 'P 1'
_symmetry_Int_Tables_number 1
loop_
_symmetry_equiv_pos_as_xyz
'x,y,z'
loop_
_atom_site_label
_atom_site_fract_x
_atom_site_fract_y
_atom_site_fract_z
Au1 0.000 0.000 0.768
Au2 0.000 0.000 0.232
Eu1 0.500 0.500 0.500
Nd1 0.500 0.500 0.000
# Density of states at the Fermi level in states/eV per cell: 8.8
# Volume in Å³/atom: 26.08
# Energy above the most stable polymorph in this dataset in eV/atom: 0.0000
# Spin magnetization in μB/atom: 1.79
# Space group: P4/mmm (123)